(1)
{"formula": "SrAuF3", "functional": "PBE-GGA", "state": "optimized geometry", "polymorph_energy_mev_per_atom": 265, "final_energy_ev_per_atom": -3.96, "formation_energy_uncorrected_ev_per_atom": -1.85, "sg": "No. 221", "lattice": [[4.610, 0.000, 0.000], [0.000, 4.610, 0.000], [0.000, 0.000, 4.610]], "species": ["Sr", "Au", "F", "F", "F"], "fractional_positions": [[0.500, 0.500, 0.500], [0.000, 0.000, 0.000], [0.000, 0.500, 0.000], [0.000, 0.000, 0.500], [0.500, 0.000, 0.000]]}


(2)
{"formula": "Sr2AuF8", "functional": "PBE-GGA", "state": "optimized geometry", "final_energy_ev_per_atom": -4.46, "formation_energy_uncorrected_ev_per_atom": -2.50, "sg": "No. 12", "lattice": [[4.398, 0.000, 0.000], [0.000, 5.169, -0.147], [-2.199, -2.387, 6.826]], "species": ["Sr", "Sr", "Au", "F", "F", "F", "F", "F", "F", "F", "F"], "fractional_positions": [[0.831, 0.331, 0.662], [0.169, 0.669, 0.338], [0.500, 0.000, 0.000], [0.389, 0.640, 0.778], [0.612, 0.866, 0.224], [0.774, 0.773, 0.548], [0.000, 0.259, 0.000], [0.226, 0.227, 0.452], [0.388, 0.134, 0.776], [0.611, 0.360, 0.222], [0.000, 0.741, 0.000]]}


(3)
{"formula": "TaAu2F", "functional": "PBE-GGA", "state": "optimized geometry", "polymorph_energy_mev_per_atom": 17, "final_energy_ev_per_atom": -5.11, "formation_energy_uncorrected_ev_per_atom": -0.04, "sg": "No. 225", "lattice": [[0.000, 3.219, 3.219], [3.219, 0.000, 3.219], [3.219, 3.219, 0.000]], "species": ["F", "Au", "Au", "Ta"], "fractional_positions": [[0.000, 0.000, 0.000], [0.250, 0.250, 0.250], [0.750, 0.750, 0.750], [0.500, 0.500, 0.500]]}


(4)
{"formula": "TaAuF3", "functional": "PBE-GGA", "state": "optimized geometry", "polymorph_energy_mev_per_atom": 0, "final_energy_ev_per_atom": -5.56, "formation_energy_uncorrected_ev_per_atom": -1.41, "sg": "No. 221", "lattice": [[4.208, 0.000, 0.000], [0.000, 4.208, 0.000], [0.000, 0.000, 4.208]], "species": ["F", "F", "F", "Au", "Ta"], "fractional_positions": [[0.000, 0.500, 0.000], [0.000, 0.000, 0.500], [0.500, 0.000, 0.000], [0.500, 0.500, 0.500], [0.000, 0.000, 0.000]]}


(5)
{"formula": "TaAu3F", "functional": "PBE-GGA", "state": "optimized geometry", "polymorph_energy_mev_per_atom": 64, "final_energy_ev_per_atom": -3.84, "formation_energy_uncorrected_ev_per_atom": 0.87, "sg": "No. 221", "lattice": [[5.144, 0.000, 0.000], [0.000, 5.144, 0.000], [0.000, 0.000, 5.144]], "species": ["F", "Au", "Au", "Au", "Ta"], "fractional_positions": [[0.500, 0.500, 0.500], [0.000, 0.500, 0.000], [0.000, 0.000, 0.500], [0.500, 0.000, 0.000], [0.000, 0.000, 0.000]]}


(6)
{"formula": "Ta2AuF", "functional": "PBE-GGA", "state": "optimized geometry", "polymorph_energy_mev_per_atom": 276, "final_energy_ev_per_atom": -7.10, "formation_energy_uncorrected_ev_per_atom": 0.12, "sg": "No. 122", "lattice": [[4.016, 0.000, 0.000], [0.000, 4.016, 0.000], [2.008, 2.008, 8.878]], "species": ["F", "F", "Au", "Au", "Ta", "Ta", "Ta", "Ta"], "fractional_positions": [[0.500, 0.500, 0.000], [0.250, 0.750, 0.500], [0.000, 0.000, 0.000], [0.750, 0.250, 0.500], [0.620, 0.125, 0.250], [0.130, 0.625, 0.250], [0.375, 0.380, 0.750], [0.875, 0.870, 0.750]]}


(7)
{"formula": "TaAu3F", "functional": "PBE-GGA", "state": "optimized geometry", "polymorph_energy_mev_per_atom": 0, "final_energy_ev_per_atom": -3.91, "formation_energy_uncorrected_ev_per_atom": 0.81, "sg": "No. 221", "lattice": [[4.543, 0.000, 0.000], [0.000, 4.543, 0.000], [0.000, 0.000, 4.543]], "species": ["F", "Au", "Au", "Au", "Ta"], "fractional_positions": [[0.000, 0.000, 0.000], [0.000, 0.500, 0.000], [0.000, 0.000, 0.500], [0.500, 0.000, 0.000], [0.500, 0.500, 0.500]]}


(8)
{"formula": "TaAu2F", "functional": "PBE-GGA", "state": "optimized geometry", "polymorph_energy_mev_per_atom": 0, "final_energy_ev_per_atom": -5.13, "formation_energy_uncorrected_ev_per_atom": -0.06, "sg": "No. 122", "lattice": [[-0.376, -4.169, -6.043], [-5.694, -3.654, 2.875], [-4.667, -2.211, -2.655]], "species": ["F", "F", "Au", "Au", "Au", "Au", "Ta", "Ta"], "fractional_positions": [[0.500, 0.500, 0.000], [0.250, 0.750, 0.500], [0.615, 0.125, 0.250], [0.135, 0.625, 0.250], [0.375, 0.385, 0.750], [0.875, 0.865, 0.750], [0.000, 0.000, 0.000], [0.750, 0.250, 0.500]]}